# 1
This record from Alexandria via LeMat-Bulk describes a relaxed structure of Pa5Fe2Ge5. The functional is PBE-GGA.

It has space group C2/m (No. 12), with a = 14.767 Å, b = 4.105 Å, c = 10.674 Å, α = 90.00°, β = 130.54° and γ = 90.00°. The inequivalent atoms are Pa at (0.000, 0.000, 0.000), Pa at (0.129, 0.500, 0.805), Pa at (0.203, 0.500, 0.586), Fe at (0.120, 0.500, 0.285), Ge at (0.000, 0.000, 0.500), Ge at (0.051, 0.000, 0.308) and Ge at (0.194, 0.500, 0.130).

The total energy comes out at -185.75 eV/cell. As for the calculated density: 11.0 g/cm³.

=====

# 2
This record from Alexandria via LeMat-Bulk describes a relaxed structure of La5Ho6Tm2. The functional is PBE-GGA.

It has space group Pbam (No. 55), with a = 11.644 Å, b = 20.721 Å, c = 3.622 Å, α = 90.00°, β = 90.00° and γ = 90.00°. The inequivalent atoms are La at (0.000, 0.000, 0.000), La at (0.078, 0.272, 0.000), La at (0.198, 0.551, 0.000), Ho at (0.065, 0.419, 0.500), Ho at (0.079, 0.132, 0.500), Ho at (0.176, 0.859, 0.000) and Tm at (0.175, 0.711, 0.500).

The total energy comes out at -119.57 eV/cell. As for the calculated density: 7.7 g/cm³.

=====

# 3
This record from Alexandria via LeMat-Bulk describes a relaxed structure of K2MnTl2H6. The functional is PBE-GGA.

It has space group C2/m (No. 12), with a = 6.495 Å, b = 11.412 Å, c = 5.175 Å, α = 90.00°, β = 97.72° and γ = 90.00°. The inequivalent atoms are K at (0.000, 0.155, 0.000), Mn at (0.000, 0.500, 0.000), Tl at (0.000, 0.347, 0.500), H at (0.159, 0.398, 0.134) and H at (0.172, 0.500, 0.787).

The total energy comes out at -71.45 eV/cell. As for the calculated density: 4.8 g/cm³.

=====

# 4
This record from Alexandria via LeMat-Bulk describes a relaxed structure of Zr2ScFe. The functional is PBE-GGA.

It has space group P4mm (No. 99), with a = 3.189 Å, b = 3.189 Å, c = 7.733 Å, α = 90.00°, β = 90.00° and γ = 90.00°. The inequivalent atoms are Zr at (0.000, 0.000, 0.000), Zr at (0.500, 0.500, 0.283), Sc at (0.500, 0.500, 0.680) and Fe at (0.000, 0.000, 0.481).

The total energy comes out at -32.13 eV/cell. As for the calculated density: 6.0 g/cm³.

=====

# 5
This record from Alexandria via LeMat-Bulk describes a relaxed structure of BaReRh2. The functional is PBE-GGA.

It has space group I-42d (No. 122), with a = 7.591 Å, b = 7.591 Å, c = 6.790 Å, α = 90.00°, β = 90.00° and γ = 90.00°. The inequivalent atoms are Ba at (0.000, 0.000, 0.000), Re at (0.000, 0.000, 0.500) and Rh at (0.159, 0.250, 0.625).

The total energy comes out at -106.89 eV/cell. As for the calculated density: 9.0 g/cm³.

=====

# 6
This record from Alexandria via LeMat-Bulk describes a relaxed structure of LaHSe2N. The functional is PBE-GGA.

It has space group P4/mmm (No. 123), with a = 6.151 Å, b = 6.151 Å, c = 4.354 Å, α = 90.00°, β = 90.00° and γ = 90.00°. The inequivalent atoms are La at (0.000, 0.000, 0.000), H at (0.500, 0.500, 0.500), Se at (0.000, 0.500, 0.000) and N at (0.000, 0.000, 0.500).

The total energy comes out at -19.87 eV/cell. As for the calculated density: 3.1 g/cm³.

=====

# 7
This record from Alexandria via LeMat-Bulk describes a relaxed structure of BaCdSe2. The functional is PBE-GGA.

It has space group Imm2 (No. 44), with a = 3.967 Å, b = 4.135 Å, c = 14.576 Å, α = 90.00°, β = 90.00° and γ = 90.00°. The inequivalent atoms are Ba at (0.000, 0.000, 0.000), Cd at (0.000, 0.500, 0.753), Se at (0.000, 0.000, 0.396) and Se at (0.000, 0.500, 0.177).

The total energy comes out at -27.91 eV/cell. As for the calculated density: 5.7 g/cm³. As for the uncorrected formation energy: -1037 meV per atom.

=====

# 8
This record from Alexandria via LeMat-Bulk describes a relaxed structure of HfZr6Zn2. The functional is PBE-GGA.

It has space group P-1 (No. 2), with a = 5.209 Å, b = 5.458 Å, c = 7.124 Å, α = 74.11°, β = 77.60° and γ = 84.10°. The inequivalent atoms are Hf at (0.000, 0.000, 0.000), Zr at (0.124, 0.556, 0.765), Zr at (0.231, 0.131, 0.551), Zr at (0.442, 0.216, 0.106) and Zn at (0.320, 0.679, 0.325).

The total energy comes out at -64.26 eV/cell. As for the calculated density: 7.5 g/cm³.

=====

# 9
This record from Alexandria via LeMat-Bulk describes a relaxed structure of MoP4Pb. The functional is PBE-GGA.

It has space group F-43m (No. 216), with a = 7.440 Å, b = 7.440 Å, c = 7.440 Å, α = 90.00°, β = 90.00° and γ = 90.00°. The inequivalent atoms are Mo at (0.000, 0.000, 0.000), P at (0.133, 0.133, 0.633) and Pb at (0.250, 0.250, 0.250).

The total energy comes out at -125.10 eV/cell. As for the calculated density: 6.9 g/cm³.

=====

# 10
This record from Alexandria via LeMat-Bulk describes a relaxed structure of LiBiOs3. The functional is PBE-GGA.

It has space group Pm-3m (No. 221), with a = 5.031 Å, b = 5.031 Å, c = 5.031 Å, α = 90.00°, β = 90.00° and γ = 90.00°. The inequivalent atoms are Li at (0.000, 0.000, 0.000), Bi at (0.500, 0.500, 0.500) and Os at (0.000, 0.500, 0.500).

The total energy comes out at -25.78 eV/cell. As for the calculated density: 10.3 g/cm³.

=====

# 11
This record from Alexandria via LeMat-Bulk describes a relaxed structure of RbLi2RhPb. The functional is PBE-GGA.

It has space group P4/mmm (No. 123), with a = 5.174 Å, b = 5.174 Å, c = 5.189 Å, α = 90.00°, β = 90.00° and γ = 90.00°. The inequivalent atoms are Rb at (0.000, 0.000, 0.000), Li at (0.000, 0.500, 0.500), Rh at (0.500, 0.500, 0.500) and Pb at (0.500, 0.500, 0.000).

The total energy comes out at -16.07 eV/cell. As for the calculated density: 4.9 g/cm³.

=====

# 12
This record from Alexandria via LeMat-Bulk describes a relaxed structure of Pm2NdIO8. The functional is PBE-GGA.

It has space group Cmmm (No. 65), with a = 7.291 Å, b = 7.318 Å, c = 7.061 Å, α = 90.00°, β = 90.00° and γ = 90.00°. The inequivalent atoms are Pm at (0.000, 0.000, 0.248), Nd at (0.000, 0.500, 0.500), I at (0.000, 0.500, 0.000), O at (0.000, 0.322, 0.200), O at (0.188, 0.000, 0.500) and O at (0.240, 0.000, 0.000).

The total energy comes out at -164.82 eV/cell. As for the calculated density: 6.1 g/cm³. As for the uncorrected formation energy: -2244 meV per atom.

=====

Q: What is the formula in the tenth record?
A: LiBiOs3

=====

Q: Among the records above, which one has the lowest calculated density?
A: LaHSe2N